{"formula": "SrTa2Cl", "functional": "PBE-GGA", "state": "relaxed", "space_group": "No. 99", "volume_a3_per_fu": 112.9, "relative_energy_kj_per_mol_atoms": 4.1, "raw_formation_energy_kj_per_mol_atoms": -2, "crystal_system": "tetragonal", "energy_ev_per_fu": -27.327, "cell": [[3.5345, 0.0000, 0.0000], [0.0000, 3.5345, 0.0000], [0.0000, 0.0000, 9.0348]], "species": ["Cl", "Ta", "Sr", "Ta"], "fractional_positions": [[0.0000, 0.0000, 0.5714], [0.5000, 0.5000, 0.1466], [0.5000, 0.5000, 0.7484], [0.0000, 0.0000, 0.0335]]}

***

{"formula": "SrTa2Cl", "functional": "PBE-GGA", "state": "relaxed", "space_group": "No. 8", "volume_a3_per_fu": 97.4, "relative_energy_kj_per_mol_atoms": 29.1, "raw_formation_energy_kj_per_mol_atoms": 23, "crystal_system": "monoclinic", "energy_ev_per_fu": -26.291, "cell": [[5.0105, -0.0015, 0.0035], [4.0112, 3.0027, 0.0035], [2.5406, 0.8452, 6.4739]], "species": ["Ta", "Cl", "Sr", "Ta"], "fractional_positions": [[0.9459, 0.9459, 0.0942], [0.5755, 0.5755, 0.5116], [0.7916, 0.7916, 0.7096], [0.1870, 0.1870, 0.1846]]}

***

{"formula": "SrTa2Cl", "functional": "PBE-GGA", "state": "relaxed", "space_group": "No. 166", "volume_a3_per_fu": 84.2, "relative_energy_kj_per_mol_atoms": 74.5, "raw_formation_energy_kj_per_mol_atoms": 68, "crystal_system": "trigonal", "energy_ev_per_fu": -24.410, "cell": [[10.3438, 0.0032, 0.0019], [9.8814, 3.0579, 0.0019], [9.8814, 1.4956, 2.6673]], "species": ["Ta", "Ta", "Sr", "Cl"], "fractional_positions": [[0.5132, 0.5132, 0.5132], [0.9868, 0.9868, 0.9868], [0.7500, 0.7500, 0.7500], [0.2500, 0.2500, 0.2500]]}

***

{"formula": "SrTaCl2", "functional": "PBE-GGA", "state": "relaxed", "space_group": "No. 122", "volume_a3_per_fu": 107.8, "relative_energy_kj_per_mol_atoms": 40.5, "raw_formation_energy_kj_per_mol_atoms": -22, "crystal_system": "tetragonal", "energy_ev_per_fu": -18.158, "cell": [[-0.6570, 1.7598, 4.7813], [-4.8946, 1.1203, -1.0848], [-5.0251, -6.0260, 4.2870]], "species": ["Ta", "Sr", "Cl", "Ta", "Sr", "Cl", "Cl", "Cl"], "fractional_positions": [[0.0000, 0.0000, 0.0000], [0.2500, 0.7500, 0.5000], [0.0496, 0.6250, 0.2500], [0.7500, 0.2500, 0.5000], [0.5000, 0.5000, 0.0000], [0.7004, 0.1250, 0.2500], [0.8750, 0.9504, 0.7500], [0.3750, 0.2996, 0.7500]]}

***

{"formula": "SrTa2Cl", "functional": "PBE-GGA", "state": "relaxed", "space_group": "No. 71", "volume_a3_per_fu": 90.5, "relative_energy_kj_per_mol_atoms": 0.0, "raw_formation_energy_kj_per_mol_atoms": -6, "crystal_system": "orthorhombic", "energy_ev_per_fu": -27.499, "cell": [[6.7084, -0.0863, 0.0831], [5.6625, 3.5980, 0.0831], [-1.1527, -0.3272, 3.6607]], "species": ["Ta", "Ta", "Cl", "Sr"], "fractional_positions": [[0.4659, 0.4659, 0.4660], [0.0341, 0.0341, 0.0340], [0.2500, 0.2500, 0.2500], [0.7500, 0.7500, 0.7500]]}

***

{"formula": "SrTaCl2", "functional": "PBE-GGA", "state": "relaxed", "space_group": "No. 166", "volume_a3_per_fu": 91.4, "relative_energy_kj_per_mol_atoms": 44.3, "raw_formation_energy_kj_per_mol_atoms": -19, "crystal_system": "trigonal", "energy_ev_per_fu": -18.001, "cell": [[9.6449, -0.0021, -0.0012], [9.0666, 3.2897, -0.0012], [9.0666, 1.5930, 2.8783]], "species": ["Sr", "Ta", "Cl", "Cl"], "fractional_positions": [[0.2500, 0.2500, 0.2500], [0.7500, 0.7500, 0.7500], [0.0200, 0.0200, 0.0200], [0.4800, 0.4800, 0.4800]]}

***

{"formula": "SrTa2Cl", "functional": "PBE-GGA", "state": "relaxed", "space_group": "No. 47", "volume_a3_per_fu": 103.7, "relative_energy_kj_per_mol_atoms": 76.9, "raw_formation_energy_kj_per_mol_atoms": 70, "crystal_system": "orthorhombic", "energy_ev_per_fu": -24.313, "cell": [[3.1454, 0.0000, 0.0000], [0.0000, 6.2094, 0.0000], [0.0000, 0.0000, 5.3079]], "species": ["Cl", "Ta", "Ta", "Sr"], "fractional_positions": [[0.5000, 0.5000, 0.2500], [0.0000, 0.0000, 0.9816], [0.0000, 0.0000, 0.5184], [0.5000, 0.5000, 0.7500]]}

***

{"formula": "SrTaCl2", "functional": "PBE-GGA", "state": "relaxed", "space_group": "No. 65", "volume_a3_per_fu": 93.5, "relative_energy_kj_per_mol_atoms": 36.1, "raw_formation_energy_kj_per_mol_atoms": -27, "crystal_system": "orthorhombic", "energy_ev_per_fu": -18.342, "cell": [[-1.1698, -0.6249, -3.3118], [1.4192, -2.3639, 2.2639], [-8.3915, -1.8627, 3.3155]], "species": ["Sr", "Cl", "Cl", "Ta"], "fractional_positions": [[0.5000, 0.5000, 0.2500], [0.0000, 0.0000, 0.5310], [0.0000, 0.0000, 0.9690], [0.5000, 0.5000, 0.7500]]}

***

{"formula": "SrTa2Cl", "functional": "PBE-GGA", "state": "relaxed", "space_group": "No. 122", "volume_a3_per_fu": 105.6, "relative_energy_kj_per_mol_atoms": 36.8, "raw_formation_energy_kj_per_mol_atoms": 30, "crystal_system": "tetragonal", "energy_ev_per_fu": -25.974, "cell": [[-2.7946, -1.0416, 2.4839], [1.9093, -3.2907, 0.7682], [6.4190, 4.2448, 12.0347]], "species": ["Cl", "Ta", "Cl", "Ta", "Sr", "Ta", "Ta", "Sr"], "fractional_positions": [[0.5000, 0.5000, 0.0000], [0.8750, 0.3682, 0.7500], [0.2500, 0.7500, 0.5000], [0.1182, 0.1250, 0.2500], [0.0000, 0.0000, 0.0000], [0.6318, 0.6250, 0.2500], [0.3750, 0.8818, 0.7500], [0.7500, 0.2500, 0.5000]]}

***

{"formula": "SrTa2Cl", "functional": "PBE-GGA", "state": "relaxed", "space_group": "No. 160", "volume_a3_per_fu": 95.1, "relative_energy_kj_per_mol_atoms": 16.4, "raw_formation_energy_kj_per_mol_atoms": 10, "crystal_system": "trigonal", "energy_ev_per_fu": -26.820, "cell": [[-1.6009, -1.0900, 9.1809], [-4.3375, -2.7438, 7.8548], [-1.3122, -4.3931, 8.1865]], "species": ["Ta", "Ta", "Cl", "Sr"], "fractional_positions": [[0.9859, 0.9859, 0.9859], [0.2540, 0.2540, 0.2540], [0.5047, 0.5047, 0.5047], [0.7554, 0.7554, 0.7554]]}

***

{"formula": "SrTaCl3", "functional": "PBE-GGA", "state": "relaxed", "space_group": "No. 221", "volume_a3_per_fu": 122.9, "relative_energy_kj_per_mol_atoms": 0.0, "raw_formation_energy_kj_per_mol_atoms": -63, "crystal_system": "cubic", "energy_ev_per_fu": -22.360, "cell": [[-3.9133, 3.0594, -0.1992], [-2.9954, -3.8841, -0.8089], [-0.6534, -0.5167, 4.9009]], "species": ["Cl", "Ta", "Cl", "Cl", "Sr"], "fractional_positions": [[0.0000, 0.5000, 0.0000], [0.0000, 0.0000, 0.0000], [0.5000, 0.0000, 0.0000], [0.0000, 0.0000, 0.5000], [0.5000, 0.5000, 0.5000]]}

***

{"formula": "SrTaCl2", "functional": "PBE-GGA", "state": "relaxed", "space_group": "No. 8", "volume_a3_per_fu": 104.1, "relative_energy_kj_per_mol_atoms": 39.0, "raw_formation_energy_kj_per_mol_atoms": -24, "crystal_system": "monoclinic", "energy_ev_per_fu": -18.223, "cell": [[-5.2171, 4.1818, 2.4114], [-6.0234, 3.7002, -0.7397], [-3.8277, -2.7136, 1.3942]], "species": ["Sr", "Cl", "Ta", "Cl"], "fractional_positions": [[0.5060, 0.5060, 0.5083], [0.9751, 0.9751, 0.0384], [0.2409, 0.2409, 0.1892], [0.7780, 0.7780, 0.7642]]}

***

What are the total magnetization values for these records? In order: 0.00 0.20 0.00 0.66 0.00 0.23 0.00 0.20 0.00 0.00 0.28 0.45 μB per atom.